# 1
A plane-wave DFT calculation with GGA-PBE was carried out for a geometry-optimized TbErPt2 structure.

Geometry as CIF:
```
data_TbErPt2
_cell_length_a 4.9345
_cell_length_b 4.9345
_cell_length_c 4.9345
_cell_angle_alpha 60.00
_cell_angle_beta 60.00
_cell_angle_gamma 60.00
_space_group_name_H-M_alt 'P 1'
_space_group_IT_number 1
_space_group_name_Hall 'P 1'
loop_
_atom_site_label
_atom_site_type_symbol
_atom_site_fract_x
_atom_site_fract_y
_atom_site_fract_z
Tb1 Tb 0.0000 0.0000 0.0000
Pt1 Pt 0.2500 0.2500 0.2500
Pt2 Pt 0.7500 0.7500 0.7500
Er1 Er 0.5000 0.5000 0.5000
```

## Properties
energy relative to the lowest polymorph listed for this composition	0.058	eV/atom
density	14.0	g/cm³
DOS at the Fermi energy	2.46	states/eV/f.u.



# 2
A plane-wave DFT calculation with GGA-PBE was carried out for a geometry-optimized TbEr2Pt3 structure.

Geometry as CIF:
```
data_TbEr2Pt3
_cell_length_a 3.4450
_cell_length_b 4.9406
_cell_length_c 14.8352
_cell_angle_alpha 90.00
_cell_angle_beta 90.00
_cell_angle_gamma 90.00
_space_group_name_H-M_alt 'P 1'
_space_group_IT_number 1
_space_group_name_Hall 'P 1'
loop_
_atom_site_label
_atom_site_type_symbol
_atom_site_fract_x
_atom_site_fract_y
_atom_site_fract_z
Tb1 Tb 0.0002 0.5000 0.5000
Tb2 Tb 0.9998 0.0000 0.0000
Er1 Er 0.0001 0.0000 0.6669
Er2 Er 0.0001 0.0000 0.3331
Er3 Er 0.9999 0.5000 0.1669
Er4 Er 0.9999 0.5000 0.8331
Pt1 Pt 0.5009 0.5000 0.6699
Pt2 Pt 0.4996 0.0000 0.5000
Pt3 Pt 0.5009 0.5000 0.3301
Pt4 Pt 0.4991 0.0000 0.1699
Pt5 Pt 0.5004 0.5000 0.0000
Pt6 Pt 0.4991 0.0000 0.8301
```

## Properties
calculated total energy	-6.5570	eV per atom
density	14.2	g/cm³
DOS at the Fermi energy	3.16	states/eV/f.u.



# 3
A plane-wave DFT calculation with GGA-PBE was carried out for a geometry-optimized Tb2ErPt structure.

Geometry as CIF:
```
data_Tb2ErPt
_cell_length_a 3.7793
_cell_length_b 6.3189
_cell_length_c 9.5234
_cell_angle_alpha 90.00
_cell_angle_beta 90.00
_cell_angle_gamma 107.39
_space_group_name_H-M_alt 'P 1'
_space_group_IT_number 1
_space_group_name_Hall 'P 1'
loop_
_atom_site_label
_atom_site_type_symbol
_atom_site_fract_x
_atom_site_fract_y
_atom_site_fract_z
Tb1 Tb 0.1364 0.2720 0.4362
Tb2 Tb 0.8636 0.7280 0.5638
Tb3 Tb 0.8636 0.7280 0.9362
Tb4 Tb 0.1364 0.2720 0.0638
Er1 Er 0.4264 0.8532 0.2500
Er2 Er 0.5736 0.1468 0.7500
Pt1 Pt 0.7411 0.4823 0.2500
Pt2 Pt 0.2589 0.5177 0.7500
```

## Properties
energy relative to the lowest polymorph listed for this composition	0.041	eV/atom
density	10.4	g/cm³
DOS at the Fermi energy	4.81	states/eV/f.u.



# 4
A plane-wave DFT calculation with GGA-PBE was carried out for a geometry-optimized Tb4Er3Pt4 structure.

Geometry as CIF:
```
data_Tb4Er3Pt4
_cell_length_a 3.7885
_cell_length_b 8.7669
_cell_length_c 9.4720
_cell_angle_alpha 117.57
_cell_angle_beta 101.54
_cell_angle_gamma 90.00
_space_group_name_H-M_alt 'P 1'
_space_group_IT_number 1
_space_group_name_Hall 'P 1'
loop_
_atom_site_label
_atom_site_type_symbol
_atom_site_fract_x
_atom_site_fract_y
_atom_site_fract_z
Tb1 Tb 0.3348 0.1478 0.6696
Tb2 Tb 0.6652 0.4782 0.3304
Tb3 Tb 0.6652 0.8522 0.3304
Tb4 Tb 0.3348 0.5218 0.6696
Er1 Er 0.0979 0.0979 0.1958
Er2 Er 0.9021 0.9021 0.8042
Er3 Er 0.0000 0.5000 0.0000
Pt1 Pt 0.2582 0.7582 0.5164
Pt2 Pt 0.7418 0.2418 0.4836
Pt3 Pt 0.5000 0.7952 0.0000
Pt4 Pt 0.5000 0.2048 0.0000
```

## Properties
calculated total energy	-6.0299	eV per atom
density	11.7	g/cm³
DOS at the Fermi energy	8.26	states/eV/f.u.



# 5
A plane-wave DFT calculation with GGA-PBE was carried out for a geometry-optimized TbErPt2 structure.

Geometry as CIF:
```
data_TbErPt2
_cell_length_a 3.4533
_cell_length_b 4.9537
_cell_length_c 4.9537
_cell_angle_alpha 90.00
_cell_angle_beta 90.00
_cell_angle_gamma 90.00
_space_group_name_H-M_alt 'P 1'
_space_group_IT_number 1
_space_group_name_Hall 'P 1'
loop_
_atom_site_label
_atom_site_type_symbol
_atom_site_fract_x
_atom_site_fract_y
_atom_site_fract_z
Tb1 Tb 0.5000 0.5000 0.5000
Pt1 Pt 0.0000 0.0000 0.5000
Pt2 Pt 0.0000 0.5000 0.0000
Er1 Er 0.5000 0.0000 0.0000
```

## Properties
energy relative to the lowest polymorph listed for this composition	0.057	eV/atom
density	14.0	g/cm³
DOS at the Fermi energy	2.22	states/eV/f.u.



# 6
A plane-wave DFT calculation with GGA-PBE was carried out for a geometry-optimized Tb3Er4Pt4 structure.

Geometry as CIF:
```
data_Tb3Er4Pt4
_cell_length_a 4.4249
_cell_length_b 7.9560
_cell_length_c 8.9423
_cell_angle_alpha 116.41
_cell_angle_beta 104.32
_cell_angle_gamma 90.00
_space_group_name_H-M_alt 'P 1'
_space_group_IT_number 1
_space_group_name_Hall 'P 1'
loop_
_atom_site_label
_atom_site_type_symbol
_atom_site_fract_x
_atom_site_fract_y
_atom_site_fract_z
Tb1 Tb 0.1025 0.1025 0.2051
Tb2 Tb 0.8975 0.8975 0.7949
Tb3 Tb 0.0000 0.5000 0.0000
Er1 Er 0.3299 0.1239 0.6598
Er2 Er 0.6701 0.4641 0.3402
Er3 Er 0.6701 0.8761 0.3402
Er4 Er 0.3299 0.5359 0.6598
Pt1 Pt 0.2145 0.7145 0.4289
Pt2 Pt 0.7855 0.2855 0.5711
Pt3 Pt 0.5000 0.8166 0.0000
Pt4 Pt 0.5000 0.1834 0.0000
```

## Properties
calculated total energy	-6.0377	eV per atom
density	11.8	g/cm³
DOS at the Fermi energy	11.65	states/eV/f.u.



# 7
A plane-wave DFT calculation with GGA-PBE was carried out for a geometry-optimized TbEr4Pt2 structure.

Geometry as CIF:
```
data_TbEr4Pt2
_cell_length_a 6.3372
_cell_length_b 7.7391
_cell_length_c 8.0104
_cell_angle_alpha 112.61
_cell_angle_beta 90.00
_cell_angle_gamma 90.00
_space_group_name_H-M_alt 'P 1'
_space_group_IT_number 1
_space_group_name_Hall 'P 1'
loop_
_atom_site_label
_atom_site_type_symbol
_atom_site_fract_x
_atom_site_fract_y
_atom_site_fract_z
Tb1 Tb 0.2500 0.8477 0.9755
Tb2 Tb 0.7500 0.1523 0.0245
Er1 Er 0.5045 0.4095 0.7677
Er2 Er 0.2500 0.2499 0.3461
Er3 Er 0.7500 0.7501 0.6539
Er4 Er 0.9955 0.4095 0.7677
Er5 Er 0.7500 0.0168 0.3875
Er6 Er 0.0045 0.5905 0.2323
Er7 Er 0.4955 0.5905 0.2323
Er8 Er 0.2500 0.9832 0.6125
Pt1 Pt 0.2500 0.2498 0.9911
Pt2 Pt 0.7500 0.7502 0.0089
Pt3 Pt 0.7500 0.3777 0.4140
Pt4 Pt 0.2500 0.6223 0.5860
```

## Properties
calculated total energy	-5.7148	eV per atom
density	11.2	g/cm³
DOS at the Fermi energy	8.18	states/eV/f.u.



# 8
A plane-wave DFT calculation with GGA-PBE was carried out for a geometry-optimized TbErPt4 structure.

Geometry as CIF:
```
data_TbErPt4
_cell_length_a 5.4310
_cell_length_b 5.4310
_cell_length_c 5.4310
_cell_angle_alpha 60.00
_cell_angle_beta 60.00
_cell_angle_gamma 60.00
_space_group_name_H-M_alt 'P 1'
_space_group_IT_number 1
_space_group_name_Hall 'P 1'
loop_
_atom_site_label
_atom_site_type_symbol
_atom_site_fract_x
_atom_site_fract_y
_atom_site_fract_z
Tb1 Tb 0.2500 0.2500 0.2500
Pt1 Pt 0.6251 0.6251 0.1246
Pt2 Pt 0.6251 0.1246 0.6251
Pt3 Pt 0.6251 0.6251 0.6251
Pt4 Pt 0.1246 0.6251 0.6251
Er1 Er 0.0000 0.0000 0.0000
```

## Properties
calculated total energy	-6.6843	eV per atom
density	16.2	g/cm³
DOS at the Fermi energy	2.51	states/eV/f.u.



# 9
A plane-wave DFT calculation with GGA-PBE was carried out for a geometry-optimized Tb3ErPt3 structure.

Geometry as CIF:
```
data_Tb3ErPt3
_cell_length_a 6.9676
_cell_length_b 6.9676
_cell_length_c 7.1119
_cell_angle_alpha 90.89
_cell_angle_beta 90.89
_cell_angle_gamma 97.40
_space_group_name_H-M_alt 'P 1'
_space_group_IT_number 1
_space_group_name_Hall 'P 1'
loop_
_atom_site_label
_atom_site_type_symbol
_atom_site_fract_x
_atom_site_fract_y
_atom_site_fract_z
Tb1 Tb 0.6650 0.6650 0.3788
Tb2 Tb 0.1759 0.8241 0.5000
Tb3 Tb 0.8241 0.1759 0.5000
Tb4 Tb 0.2490 0.7510 0.0000
Tb5 Tb 0.7510 0.2490 0.0000
Tb6 Tb 0.3350 0.3350 0.6212
Er1 Er 0.7425 0.7425 0.8838
Er2 Er 0.2575 0.2575 0.1162
Pt1 Pt 0.9398 0.9398 0.1929
Pt2 Pt 0.9782 0.5052 0.7177
Pt3 Pt 0.5052 0.9782 0.7177
Pt4 Pt 0.0218 0.4948 0.2823
Pt5 Pt 0.4948 0.0218 0.2823
Pt6 Pt 0.0602 0.0602 0.8071
```

## Properties
calculated total energy	-6.2417	eV per atom
density	11.9	g/cm³
DOS at the Fermi energy	4.62	states/eV/f.u.



# 10
A plane-wave DFT calculation with GGA-PBE was carried out for a geometry-optimized TbEr3Pt3 structure.

Geometry as CIF:
```
data_TbEr3Pt3
_cell_length_a 7.0737
_cell_length_b 7.0737
_cell_length_c 6.9685
_cell_angle_alpha 81.12
_cell_angle_beta 81.12
_cell_angle_gamma 84.16
_space_group_name_H-M_alt 'P 1'
_space_group_IT_number 1
_space_group_name_Hall 'P 1'
loop_
_atom_site_label
_atom_site_type_symbol
_atom_site_fract_x
_atom_site_fract_y
_atom_site_fract_z
Tb1 Tb 0.7710 0.7710 0.9648
Tb2 Tb 0.2290 0.2290 0.0352
Er1 Er 0.6946 0.6946 0.5028
Er2 Er 0.1874 0.8126 0.5000
Er3 Er 0.8126 0.1874 0.5000
Er4 Er 0.2691 0.7309 0.0000
Er5 Er 0.7309 0.2691 0.0000
Er6 Er 0.3054 0.3054 0.4972
Pt1 Pt 0.9483 0.9483 0.2138
Pt2 Pt 0.9834 0.4910 0.7272
Pt3 Pt 0.4910 0.9834 0.7272
Pt4 Pt 0.0166 0.5090 0.2728
Pt5 Pt 0.5090 0.0166 0.2728
Pt6 Pt 0.0517 0.0517 0.7862
```

## Properties
calculated total energy	-6.2521	eV per atom
density	12.2	g/cm³
DOS at the Fermi energy	5.65	states/eV/f.u.